[1]
First-principles (PBE) data for crystalline NaMn at its relaxed geometry, as listed in Alexandria via LeMat-Bulk.

abc: 7.738 7.738 7.738
angles: 109.47 109.47 109.47
Fractional positions:
1 Na 0.000 0.000 0.575
2 Na 0.000 0.575 0.000
3 Na 0.425 0.425 0.425
4 Na 0.575 0.000 0.000
5 Mn 0.000 0.000 0.178
6 Mn 0.000 0.178 0.000
7 Mn 0.178 0.000 0.000
8 Mn 0.822 0.822 0.822

Summary:
M_tot	10.11	μB/cell
DFT formation energy	1.28	eV/atom
SG	I-43m
total DFT energy (no corrections)	-0.14565	hartree per atom


[2]
First-principles (PBE) data for crystalline NaMn4 at its relaxed geometry, as listed in Alexandria via LeMat-Bulk.

abc: 4.641 4.641 4.641
angles: 90.00 90.00 90.00
Fractional positions:
1 Na 0.000 0.000 0.000
2 Mn 0.000 0.000 0.500
3 Mn 0.000 0.500 0.000
4 Mn 0.500 0.000 0.000
5 Mn 0.500 0.500 0.500

Summary:
M_tot	15.64	μB/cell
DFT formation energy	1.83	eV/atom
SG	Pm-3m
total DFT energy (no corrections)	-0.21185	hartree per atom


Computed values of D(E_F) (unit: states/eV/f.u.) for the preceding records, in sequence: 2.1; 6.8.